(1)
Compound: AlB
Source: the Alexandria database
Functional: PBE-GGA
Structure: relaxed

Values from the calculation:
**Size of the total moment**: 0.000 Bohr magnetons per cell
**DFT formation energy**: 146 meV/atom

abc: 4.2690 3.6021 6.8078
angles: 90.00 106.83 90.00
Element x y z (fractional)
Al (0.2825, 0.0000, 0.2972)
Al (0.7175, 0.5000, 0.2028)
Al (0.7175, 0.0000, 0.7028)
Al (0.2825, 0.5000, 0.7972)
B (0.1675, 0.5000, 0.0983)
B (0.8325, 0.0000, 0.4017)
B (0.1675, 0.0000, 0.5983)
B (0.8325, 0.5000, 0.9017)


(2)
Compound: AlB
Source: the Alexandria database
Functional: PBE-GGA
Structure: relaxed

Values from the calculation:
**Size of the total moment**: 0.000 Bohr magnetons per cell
**DFT formation energy**: 1013 meV/atom

abc: 6.0865 6.0865 6.0865
angles: 90.00 90.00 90.00
Element x y z (fractional)
B (0.5000, 0.7500, 0.0000)
B (0.7500, 0.0000, 0.5000)
B (0.0000, 0.5000, 0.7500)
B (0.5000, 0.2500, 0.0000)
B (0.2500, 0.0000, 0.5000)
B (0.0000, 0.5000, 0.2500)
Al (0.2500, 0.5000, 0.0000)
Al (0.0000, 0.2500, 0.5000)
Al (0.0000, 0.7500, 0.5000)
Al (0.5000, 0.0000, 0.7500)
Al (0.7500, 0.5000, 0.0000)
Al (0.5000, 0.0000, 0.2500)


(3)
Compound: AlB4
Source: the Alexandria database
Functional: PBE-GGA
Structure: relaxed

Values from the calculation:
**Size of the total moment**: 0.000 Bohr magnetons per cell
**DFT formation energy**: 178 meV/atom

abc: 4.1296 7.0964 6.8523
angles: 94.28 74.02 84.05
Element x y z (fractional)
B (0.1950, 0.0021, 0.0088)
B (0.5037, 0.3245, 0.4521)
B (0.6017, 0.9051, 0.5544)
B (0.8050, 0.9979, 0.9912)
B (0.1911, 0.5088, 0.5137)
B (0.5575, 0.5268, 0.3179)
B (0.4425, 0.4732, 0.6821)
B (0.4374, 0.4105, 0.9235)
B (0.8089, 0.4913, 0.4863)
B (0.5292, 0.8264, 0.0298)
B (0.4225, 0.0435, 0.1889)
B (0.5775, 0.9565, 0.8111)
B (0.4962, 0.6755, 0.5479)
B (0.5626, 0.5895, 0.0765)
B (0.4708, 0.1736, 0.9702)
B (0.3983, 0.0949, 0.4456)
Al (0.8294, 0.1642, 0.6021)
Al (0.9038, 0.3287, 0.0506)
Al (0.0962, 0.6713, 0.9495)
Al (0.1706, 0.8358, 0.3979)


(4)
Compound: AlB
Source: the Alexandria database
Functional: PBE-GGA
Structure: relaxed

Values from the calculation:
**Size of the total moment**: 0.000 Bohr magnetons per cell
**DFT formation energy**: 542 meV/atom

abc: 3.5723 2.8582 4.8402
angles: 90.00 117.02 90.00
Element x y z (fractional)
Al (0.0000, 0.5000, 0.5000)
Al (0.0000, 0.0000, 0.0000)
B (0.5000, 0.0000, 0.5000)
B (0.5000, 0.5000, 0.0000)


(5)
Compound: AlB
Source: the Alexandria database
Functional: PBE-GGA
Structure: relaxed

Values from the calculation:
**Size of the total moment**: 0.000 Bohr magnetons per cell
**DFT formation energy**: 142 meV/atom

abc: 3.3450 3.0189 4.3256
angles: 90.00 112.17 90.00
Element x y z (fractional)
Al (0.6511, 0.2500, 0.3007)
Al (0.3489, 0.7500, 0.6993)
B (0.0593, 0.7500, 0.1213)
B (0.9407, 0.2500, 0.8787)


(6)
Compound: AlB
Source: the Alexandria database
Functional: PBE-GGA
Structure: relaxed

Values from the calculation:
**Size of the total moment**: 0.000 Bohr magnetons per cell
**DFT formation energy**: 157 meV/atom

abc: 13.0395 3.0316 3.2843
angles: 90.00 90.00 90.00
Element x y z (fractional)
B (0.7829, 0.5000, 0.0000)
B (0.2171, 0.5000, 0.0000)
B (0.2829, 0.0000, 0.0000)
B (0.5000, 0.5000, 0.5000)
B (0.7171, 0.0000, 0.0000)
B (0.0000, 0.0000, 0.5000)
Al (0.1587, 0.0000, 0.5000)
Al (0.3413, 0.5000, 0.5000)
Al (0.5000, 0.0000, 0.0000)
Al (0.0000, 0.5000, 0.0000)
Al (0.8413, 0.0000, 0.5000)
Al (0.6587, 0.5000, 0.5000)


Question: What is the size of the total moment in the third record?
Answer: 0.000 Bohr magnetons per cell